NiNF2 | PBE with a Hubbard U | optimized geometry

Values from the calculation:
Volume ... 17.21 Å³/atom
Relative energy among the computed polymorphs ... 0 meV/atom
SG ... I-42d

Cell and atoms, written as POSCAR:
```
NiNF2
1.0
-3.135 0.791 5.057
4.643 -2.056 3.200
2.126 2.922 4.423
F N Ni
4 2 2
Direct
0.875 0.005 0.750
0.755 0.125 0.250
0.375 0.245 0.750
0.995 0.625 0.250
0.250 0.750 0.500
0.500 0.500 0.000
0.750 0.250 0.500
0.000 0.000 0.000
```